# 1
Compound: Ge2BiPbO
Source: Alexandria via LeMat-Bulk
Functional: GGA-PBE
Structure: relaxed

Structure (extended XYZ):
```
5
Lattice="5.6401 0.0000 0.0000 0.0000 5.6401 0.0000 0.0000 0.0000 4.2332" Properties=species:S:1:pos:R:3 pbc="T T T"
Ge 0.0000 2.8200 0.0000
Ge 2.8200 0.0000 0.0000
Bi 0.0000 0.0000 0.0000
Pb 2.8200 2.8200 2.1166
O 0.0000 0.0000 2.1166
```

Output
Crystal system ... tetragonal

---

# 2
Compound: Te2PdW
Source: Alexandria via LeMat-Bulk
Functional: GGA-PBE
Structure: relaxed

Structure (extended XYZ):
```
4
Lattice="0.0000 3.4172 3.4172 3.4172 0.0000 3.4172 3.4172 3.4172 0.0000" Properties=species:S:1:pos:R:3 pbc="T T T"
Te 1.7086 1.7086 1.7086
Te 5.1258 5.1258 5.1258
Pd 0.0000 0.0000 0.0000
W 3.4172 3.4172 3.4172
```

Output
Crystal system ... cubic

---

# 3
Compound: ZnAs2Pb2O9
Source: Alexandria via LeMat-Bulk
Functional: GGA-PBE
Structure: relaxed

Structure (extended XYZ):
```
28
Lattice="8.2550 0.0000 0.0000 0.0000 5.9422 0.0000 -3.7709 0.0000 8.1948" Properties=species:S:1:pos:R:3 pbc="T T T"
Zn 0.0000 0.0000 0.0000
Zn 0.0000 2.9711 0.0000
As -2.1532 1.4855 5.3167
As 2.8914 4.4566 1.3521
As 1.5927 1.4855 6.8427
As 6.6373 4.4566 2.8781
Pb -0.5101 4.4566 5.9852
Pb 1.2343 1.4855 3.0132
Pb 3.2499 4.4566 5.1816
Pb 4.9943 1.4855 2.2097
O -1.0141 1.4855 4.0809
O -2.0281 0.1222 6.4043
O -2.0281 2.8488 6.4043
O 0.7302 1.4855 0.8923
O -0.0805 4.4566 3.7467
O 1.1971 4.4566 1.1208
O 0.0641 4.4566 8.1164
O 1.2222 0.0772 5.8562
O 1.2222 2.8939 5.8562
O 3.2619 3.0483 2.3386
O 3.2619 5.8650 2.3386
O 4.4200 1.4855 0.0784
O 3.2870 1.4855 7.0741
O 4.5647 1.4855 4.4481
O 3.7540 4.4566 7.3025
O 6.5122 3.0933 1.7905
O 6.5122 5.8199 1.7905
O 5.4982 4.4566 4.1139
```

Output
Crystal system ... monoclinic

---

Energy relative to the elements, uncorrected? In order: 367, 457, -1121 meV per atom.
E_tot? In order: -3.9898, -5.6507, -5.5934 eV/atom.